Computed, not measured: a relaxed structure of Na3HfCo2O6 at the PBE+U level of DFT.

Properties
SG	C2/m, No. 12
total DFT energy (no corrections)	-76.2	eV/cell

Unit cell a=5.386 b=5.386 c=5.745 alpha=98.59 beta=98.59 gamma=120.83
Fractional positions:
Na 0.000 0.000 0.000
Na 0.327 0.673 0.000
Na 0.673 0.327 0.000
Hf 0.500 0.500 0.500
Co 0.168 0.832 0.500
Co 0.832 0.168 0.500
O 0.099 0.428 0.295
O 0.238 0.238 0.707
O 0.428 0.099 0.295
O 0.572 0.901 0.705
O 0.762 0.762 0.293
O 0.901 0.572 0.705